Below is a relaxed structure of BeCdS2, with properties calculated at the PBE-GGA level.

Lattice parameters (Å, degrees): 6.7723 6.7723 6.7723 32.41 32.41 32.41
Fractional positions:
Be: 0.0000 0.0000 0.0000
Cd: 0.5033 0.5033 0.5033
S: 0.1072 0.1072 0.1072
S: 0.6342 0.6342 0.6342

ΔE to the lowest computed polymorph, meV per atom: 124
Formation energy from raw total energies, eV per atom: -0.69
Energy, eV per atom: -3.92
DOS at the Fermi energy, states/eV/cell: 0.00
Size of the total moment, μB per formula unit: 0.000

***

Below is a relaxed structure of BeCdSb2S, with properties calculated at the PBE-GGA level.

Lattice parameters (Å, degrees): 5.5738 5.5738 4.8244 90.00 90.00 90.00
Fractional positions:
Be: 0.0000 0.0000 0.0000
Cd: 0.5000 0.5000 0.5000
Sb: 0.0000 0.5000 0.5000
Sb: 0.5000 0.0000 0.5000
S: 0.5000 0.5000 0.0000

Formation energy from raw total energies, eV per atom: 1.20
Energy, eV per atom: -2.20
DOS at the Fermi energy, states/eV/cell: 6.08
Size of the total moment, μB per formula unit: 0.000

***

Below is a relaxed structure of BeCdSbS2, with properties calculated at the PBE-GGA level.

Lattice parameters (Å, degrees): 5.0917 5.0917 4.4707 90.00 90.00 90.00
Fractional positions:
Be: 0.0000 0.0000 0.0000
Cd: 0.0000 0.0000 0.5000
Sb: 0.5000 0.5000 0.0000
S: 0.0000 0.5000 0.5000
S: 0.5000 0.0000 0.5000

Formation energy from raw total energies, eV per atom: 0.83
Energy, eV per atom: -2.57
DOS at the Fermi energy, states/eV/cell: 2.81
Size of the total moment, μB per formula unit: 0.000

***

Below is a relaxed structure of BeCd2Sb, with properties calculated at the PBE-GGA level.

Lattice parameters (Å, degrees): 7.1242 7.1242 3.8168 105.38 105.38 27.81
Fractional positions:
Be: 0.0000 0.0000 0.0000
Cd: 0.3135 0.3135 0.8135
Cd: 0.6865 0.6865 0.1865
Sb: 0.5000 0.5000 0.5000

ΔE to the lowest computed polymorph, meV per atom: 76
Formation energy from raw total energies, eV per atom: 0.28
Energy, eV per atom: -2.14
DOS at the Fermi energy, states/eV/cell: 1.03
Size of the total moment, μB per formula unit: 0.000

***

Below is a relaxed structure of BeCdSb2, with properties calculated at the PBE-GGA level.

Lattice parameters (Å, degrees): 7.1804 7.1804 7.1804 128.38 128.38 76.02
Fractional positions:
Be: 0.0000 0.0000 0.0000
Be: 0.7500 0.2500 0.5000
Cd: 0.2500 0.7500 0.5000
Cd: 0.5000 0.5000 0.0000
Sb: 0.0641 0.6250 0.9391
Sb: 0.3750 0.3141 0.4391
Sb: 0.6859 0.1250 0.0609
Sb: 0.8750 0.9359 0.5609

ΔE to the lowest computed polymorph, meV per atom: 7
Formation energy from raw total energies, eV per atom: 0.22
Energy, eV per atom: -3.01
DOS at the Fermi energy, states/eV/cell: 2.71
Size of the total moment, μB per formula unit: 0.000

***

Below is a relaxed structure of BeCdSb2, with properties calculated at the PBE-GGA level.

Lattice parameters (Å, degrees): 5.0521 5.0521 5.0521 60.00 60.00 60.00
Fractional positions:
Be: 0.0000 0.0000 0.0000
Cd: 0.2500 0.2500 0.2500
Sb: 0.5000 0.5000 0.5000
Sb: 0.7500 0.7500 0.7500

ΔE to the lowest computed polymorph, meV per atom: 407
Formation energy from raw total energies, eV per atom: 0.62
Energy, eV per atom: -2.60
DOS at the Fermi energy, states/eV/cell: 2.84
Size of the total moment, μB per formula unit: 0.000

***

Below is a relaxed structure of Be2CdSb2, with properties calculated at the PBE-GGA level.

Lattice parameters (Å, degrees): 8.3538 8.3538 8.3538 154.71 154.71 36.07
Fractional positions:
Be: 0.2500 0.7500 0.5000
Be: 0.7500 0.2500 0.5000
Cd: 0.0000 0.0000 0.0000
Sb: 0.3598 0.3598 0.0000
Sb: 0.6402 0.6402 0.0000

Formation energy from raw total energies, eV per atom: 0.22
Energy, eV per atom: -3.10
DOS at the Fermi energy, states/eV/cell: 1.39
Size of the total moment, μB per formula unit: 0.000

***

Below is a relaxed structure of Be2CdSb, with properties calculated at the PBE-GGA level.

Lattice parameters (Å, degrees): 4.8683 4.8683 3.0120 90.00 90.00 104.75
Fractional positions:
Be: 0.0000 0.5000 0.0000
Be: 0.5000 0.0000 0.0000
Cd: 0.0000 0.0000 0.5000
Sb: 0.5000 0.5000 0.5000

ΔE to the lowest computed polymorph, meV per atom: 340
Formation energy from raw total energies, eV per atom: 0.65
Energy, eV per atom: -2.47
DOS at the Fermi energy, states/eV/cell: 1.81
Size of the total moment, μB per formula unit: 0.000